# NbPdS3 PBE optimized geometry
data_NbPdS3
_cell_length_a 4.7806
_cell_length_b 4.7806
_cell_length_c 4.7806
_cell_angle_alpha 90.00
_cell_angle_beta 90.00
_cell_angle_gamma 90.00
_space_group_name_H-M_alt 'P m -3 m'
_space_group_IT_number 221
_space_group_name_Hall '-P 4 2 3'
loop_
_atom_site_label
_atom_site_type_symbol
_atom_site_fract_x
_atom_site_fract_y
_atom_site_fract_z
Nb1 Nb 0.0000 0.0000 0.0000
Pd1 Pd 0.5000 0.5000 0.5000
S1 S 0.0000 0.0000 0.5000
# **Formation energy from raw total energies**: 0.06 eV per atom
# **Energy above the lowest structure with this stoichiometry**: 524 meV/atom
# **DOS at the Fermi energy**: 3.97 states/eV/cell
# **Spin magnetization**: 0.973 μB per formula unit